[1]
Here is TcIr3Os2 after structural relaxation from Alexandria via LeMat-Bulk. Energies are from PBE-GGA.

Computed properties:
**Crystal system**: monoclinic

abc: 5.4518 3.8639 8.2253
angles: 90.00 90.29 90.00
With the nearest neighbours (Å) after each atom.
Fractional coordinates of all 12 atoms:
1 Tc 0.1272 0.2500 0.2458  5 Os 2.67-2.74, 7 Ir 2.68-2.78
2 Tc 0.8728 0.7500 0.7542  5 Os 2.67-2.74, 7 Ir 2.68-2.78
3 Ir 0.1244 0.2500 0.5831  4 Ir 2.71-2.72, 5 Os 2.72-2.78, 3 Tc 2.76-2.78
4 Ir 0.3712 0.7500 0.0902  2 Tc 2.68, 5 Os 2.68-2.78, 5 Ir 2.73-2.84
5 Ir 0.3756 0.7500 0.7445  5 Os 2.70-2.79, 5 Ir 2.71-2.84, 2 Tc 2.71-2.74
6 Ir 0.6244 0.2500 0.2555  5 Os 2.70-2.79, 5 Ir 2.71-2.84, 2 Tc 2.71-2.74
7 Ir 0.6288 0.2500 0.9098  2 Tc 2.68, 5 Os 2.68-2.78, 5 Ir 2.73-2.84
8 Ir 0.8756 0.7500 0.4169  4 Ir 2.71-2.72, 5 Os 2.72-2.78, 3 Tc 2.76-2.78
9 Os 0.1199 0.2500 0.9208  3 Tc 2.67-2.72, 2 Os 2.67, 7 Ir 2.68-2.79
10 Os 0.3760 0.7500 0.4155  8 Ir 2.68-2.74, 2 Os 2.73, 2 Tc 2.74
11 Os 0.6240 0.2500 0.5845  8 Ir 2.68-2.74, 2 Os 2.73, 2 Tc 2.74
12 Os 0.8801 0.7500 0.0792  3 Tc 2.67-2.72, 2 Os 2.67, 7 Ir 2.68-2.79

[2]
Here is Tc2Ir2Os after structural relaxation from Alexandria via LeMat-Bulk. Energies are from PBE-GGA.

Computed properties:
**Energy relative to the lowest polymorph listed for this composition**: 322 meV per atom
**Crystal system**: tetragonal

abc: 7.4215 7.4215 2.7487
angles: 90.00 90.00 90.00
With the nearest neighbours (Å) after each atom.
Fractional coordinates of all 10 atoms:
1 Tc 0.1720 0.3280 0.0000  6 Ir 2.53-2.62, 2 Tc 2.75
2 Tc 0.3280 0.8280 0.0000  6 Ir 2.53-2.62, 2 Tc 2.75
3 Tc 0.6720 0.1720 0.0000  6 Ir 2.53-2.62, 2 Tc 2.75
4 Tc 0.8280 0.6720 0.0000  6 Ir 2.53-2.62, 2 Tc 2.75
5 Ir 0.1254 0.6254 0.5000  6 Tc 2.53-2.62, 3 Ir 2.63-2.75
6 Ir 0.3746 0.1254 0.5000  6 Tc 2.53-2.62, 3 Ir 2.63-2.75
7 Ir 0.6254 0.8746 0.5000  6 Tc 2.53-2.62, 3 Ir 2.63-2.75
8 Ir 0.8746 0.3746 0.5000  6 Tc 2.53-2.62, 3 Ir 2.63-2.75
9 Os 0.0000 0.0000 0.5000  2 Os 2.75, 4 Ir 2.93, 8 Tc 3.07
10 Os 0.5000 0.5000 0.5000  2 Os 2.75, 4 Ir 2.93, 8 Tc 3.07

[3]
Here is TcIr2Os after structural relaxation from Alexandria via LeMat-Bulk. Energies are from PBE-GGA.

Computed properties:
**Energy relative to the lowest polymorph listed for this composition**: 67 meV per atom
**Crystal system**: tetragonal

abc: 3.8503 3.8503 3.8902
angles: 90.00 90.00 90.00
With the nearest neighbours (Å) after each atom.
Fractional coordinates of all 4 atoms:
1 Tc 0.0000 0.0000 0.0000  4 Os 2.72, 8 Ir 2.74
2 Ir 0.0000 0.5000 0.5000  4 Ir 2.72, 4 Os 2.74, 4 Tc 2.74
3 Ir 0.5000 0.0000 0.5000  4 Ir 2.72, 4 Os 2.74, 4 Tc 2.74
4 Os 0.5000 0.5000 0.0000  4 Tc 2.72, 8 Ir 2.74

[4]
Here is TcIrOs3 after structural relaxation from Alexandria via LeMat-Bulk. Energies are from PBE-GGA.

Computed properties:
**Energy relative to the lowest polymorph listed for this composition**: 2608 meV per atom
**Crystal system**: cubic

abc: 4.5881 4.5881 4.5881
angles: 90.00 90.00 90.00
With the nearest neighbours (Å) after each atom.
Fractional coordinates of all 5 atoms:
1 Tc 0.0000 0.0000 0.0000  6 Os 2.29
2 Ir 0.5000 0.5000 0.5000  12 Os 3.24
3 Os 0.0000 0.0000 0.5000  2 Tc 2.29
4 Os 0.0000 0.5000 0.0000  2 Tc 2.29
5 Os 0.5000 0.0000 0.0000  2 Tc 2.29

[5]
Here is TcIr4Os2 after structural relaxation from Alexandria via LeMat-Bulk. Energies are from PBE-GGA.

Computed properties:
**Crystal system**: orthorhombic

abc: 6.8447 6.8447 4.5368
angles: 90.00 90.00 142.14
With the nearest neighbours (Å) after each atom.
Fractional coordinates of all 7 atoms:
1 Tc 0.0000 0.0000 0.0000  4 Os 2.59, 2 Ir 2.63
2 Ir 0.2030 0.7970 0.0000  4 Ir 2.53-2.71, 1 Tc 2.63, 2 Os 2.65
3 Ir 0.3175 0.6825 0.5000  2 Os 2.48, 2 Ir 2.71
4 Ir 0.6825 0.3175 0.5000  2 Os 2.48, 2 Ir 2.71
5 Ir 0.7970 0.2030 0.0000  4 Ir 2.53-2.71, 1 Tc 2.63, 2 Os 2.65
6 Os 0.0969 0.9031 0.5000  4 Ir 2.48-2.65, 1 Os 2.51, 2 Tc 2.59
7 Os 0.9031 0.0969 0.5000  4 Ir 2.48-2.65, 1 Os 2.51, 2 Tc 2.59

[6]
Here is TcIr12Os3 after structural relaxation from Alexandria via LeMat-Bulk. Energies are from PBE-GGA.

Computed properties:
**Crystal system**: tetragonal

abc: 3.8669 3.8669 15.4675
angles: 90.00 90.00 90.00
With the nearest neighbours (Å) after each atom.
Fractional coordinates of all 16 atoms:
1 Tc 0.0000 0.0000 0.0000  12 Ir 2.73
2 Ir 0.0000 0.5000 0.1246  2 Tc 2.73, 8 Ir 2.73-2.74, 2 Os 2.75
3 Ir 0.0000 0.5000 0.3749  4 Os 2.73-2.74, 8 Ir 2.73-2.74
4 Ir 0.0000 0.5000 0.6251  4 Os 2.73-2.74, 8 Ir 2.73-2.74
5 Ir 0.0000 0.5000 0.8754  8 Ir 2.73-2.74, 2 Tc 2.73, 2 Os 2.75
6 Ir 0.5000 0.0000 0.1246  2 Tc 2.73, 8 Ir 2.73-2.74, 2 Os 2.75
7 Ir 0.5000 0.0000 0.3749  4 Os 2.73-2.74, 8 Ir 2.73-2.74
8 Ir 0.5000 0.0000 0.6251  4 Os 2.73-2.74, 8 Ir 2.73-2.74
9 Ir 0.5000 0.0000 0.8754  8 Ir 2.73-2.74, 2 Tc 2.73, 2 Os 2.75
10 Ir 0.5000 0.5000 0.0000  8 Ir 2.73, 4 Tc 2.73
11 Ir 0.5000 0.5000 0.2499  8 Ir 2.73-2.74, 4 Os 2.73
12 Ir 0.5000 0.5000 0.5000  4 Os 2.73, 8 Ir 2.74
13 Ir 0.5000 0.5000 0.7501  8 Ir 2.73-2.74, 4 Os 2.73
14 Os 0.0000 0.0000 0.2507  12 Ir 2.73-2.75
15 Os 0.0000 0.0000 0.5000  12 Ir 2.73-2.74
16 Os 0.0000 0.0000 0.7493  12 Ir 2.73-2.75

[7]
Here is Tc2Ir6Os after structural relaxation from Alexandria via LeMat-Bulk. Energies are from PBE-GGA.

Computed properties:
**Energy relative to the lowest polymorph listed for this composition**: 0 meV per atom
**Crystal system**: monoclinic

abc: 6.1219 6.1219 6.1088
angles: 107.45 107.45 36.84
With the nearest neighbours (Å) after each atom.
Fractional coordinates of all 9 atoms:
1 Tc 0.0551 0.0551 0.3326  9 Ir 2.69-2.77, 2 Os 2.73, 1 Tc 2.73
2 Tc 0.9449 0.9449 0.6674  9 Ir 2.69-2.77, 2 Os 2.73, 1 Tc 2.73
3 Ir 0.1632 0.1632 0.0022  2 Tc 2.69-2.71, 2 Os 2.71, 8 Ir 2.72-2.80
4 Ir 0.2812 0.2812 0.6669  1 Os 2.71, 3 Tc 2.71-2.77, 8 Ir 2.72-2.80
5 Ir 0.3923 0.3923 0.3352  7 Ir 2.67-2.79, 4 Tc 2.71-2.73, 1 Os 2.72
6 Ir 0.6077 0.6077 0.6648  7 Ir 2.67-2.79, 4 Tc 2.71-2.73, 1 Os 2.72
7 Ir 0.7188 0.7188 0.3331  1 Os 2.71, 3 Tc 2.71-2.77, 8 Ir 2.72-2.80
8 Ir 0.8368 0.8368 0.9978  2 Tc 2.69-2.71, 2 Os 2.71, 8 Ir 2.72-2.80
9 Os 0.5000 0.5000 0.0000  8 Ir 2.71-2.72, 4 Tc 2.73

[8]
Here is Tc2Ir3Os4 after structural relaxation from Alexandria via LeMat-Bulk. Energies are from PBE-GGA.

Computed properties:
**Crystal system**: triclinic

abc: 4.7816 7.0310 8.4990
angles: 108.64 106.31 90.04
With the nearest neighbours (Å) after each atom.
Fractional coordinates of all 18 atoms:
1 Tc 0.1130 0.3633 0.3893  5 Os 2.69-2.78, 2 Tc 2.69-2.70, 5 Ir 2.69-2.77
2 Tc 0.3328 0.9153 0.8317  5 Ir 2.68-2.77, 5 Os 2.69-2.76, 2 Tc 2.70-2.72
3 Tc 0.6672 0.0847 0.1683  5 Ir 2.68-2.77, 5 Os 2.69-2.76, 2 Tc 2.70-2.72
4 Tc 0.8870 0.6367 0.6107  5 Os 2.69-2.78, 2 Tc 2.69-2.70, 5 Ir 2.69-2.77
5 Ir 0.1098 0.1941 0.0555  2 Ir 2.69-2.70, 6 Os 2.69-2.77, 4 Tc 2.70-2.77
6 Ir 0.2218 0.1391 0.6109  2 Ir 2.70, 8 Os 2.70-2.76, 2 Tc 2.76-2.77
7 Ir 0.4441 0.5288 0.7222  4 Tc 2.68-2.76, 2 Ir 2.70, 6 Os 2.70-2.77
8 Ir 0.5559 0.4712 0.2778  4 Tc 2.68-2.76, 2 Ir 2.70, 6 Os 2.70-2.77
9 Ir 0.7782 0.8609 0.3891  2 Ir 2.70, 8 Os 2.70-2.76, 2 Tc 2.76-2.77
10 Ir 0.8902 0.8059 0.9445  2 Ir 2.69-2.70, 6 Os 2.69-2.77, 4 Tc 2.70-2.77
11 Os 0.0013 0.4161 0.8342  6 Os 2.69-2.76, 5 Ir 2.70-2.77, 1 Tc 2.76
12 Os 0.2228 0.9722 0.2772  4 Os 2.69-2.76, 5 Ir 2.69-2.76, 3 Tc 2.71-2.76
13 Os 0.3340 0.7504 0.4999  4 Tc 2.69-2.78, 3 Os 2.69-2.76, 5 Ir 2.70-2.76
14 Os 0.4438 0.6949 0.0561  5 Os 2.69-2.76, 5 Ir 2.70-2.77, 2 Tc 2.70-2.76
15 Os 0.5562 0.3051 0.9439  5 Os 2.69-2.76, 5 Ir 2.70-2.77, 2 Tc 2.70-2.76
16 Os 0.6660 0.2496 0.5001  4 Tc 2.69-2.78, 3 Os 2.69-2.76, 5 Ir 2.70-2.76
17 Os 0.7772 0.0278 0.7228  4 Os 2.69-2.76, 5 Ir 2.69-2.76, 3 Tc 2.71-2.76
18 Os 0.9987 0.5839 0.1658  6 Os 2.69-2.76, 5 Ir 2.70-2.77, 1 Tc 2.76

[9]
Here is Tc3IrOs4 after structural relaxation from Alexandria via LeMat-Bulk. Energies are from PBE-GGA.

Computed properties:
**Crystal system**: triclinic

abc: 4.7266 5.4581 5.4688
angles: 60.12 73.42 73.35
With the nearest neighbours (Å) after each atom.
Fractional coordinates of all 8 atoms:
1 Tc 0.0000 0.0000 0.0000  4 Tc 2.71, 6 Os 2.73, 2 Ir 2.74
2 Tc 0.5002 0.2430 0.7571  4 Tc 2.66-2.81, 6 Os 2.71-2.76, 2 Ir 2.75
3 Tc 0.4998 0.7570 0.2429  4 Tc 2.66-2.81, 6 Os 2.71-2.76, 2 Ir 2.75
4 Ir 0.0000 0.5000 0.5000  6 Os 2.73-2.74, 6 Tc 2.74-2.75
5 Os 0.0000 0.0000 0.5000  2 Ir 2.73, 6 Os 2.73-2.74, 4 Tc 2.73-2.74
6 Os 0.0000 0.5000 0.0000  6 Os 2.73-2.74, 4 Tc 2.73-2.74, 2 Ir 2.73
7 Os 0.4997 0.2495 0.2495  5 Tc 2.71-2.76, 6 Os 2.73-2.74, 1 Ir 2.74
8 Os 0.5003 0.7505 0.7505  5 Tc 2.71-2.76, 6 Os 2.73-2.74, 1 Ir 2.74

[10]
Here is TcIr2Os after structural relaxation from Alexandria via LeMat-Bulk. Energies are from PBE-GGA.

Computed properties:
**Energy relative to the lowest polymorph listed for this composition**: 531 meV per atom
**Crystal system**: tetragonal

abc: 3.3070 3.3070 5.4564
angles: 90.00 90.00 90.00
With the nearest neighbours (Å) after each atom.
Fractional coordinates of all 4 atoms:
1 Tc 0.0000 0.0000 0.0000  4 Os 2.72, 6 Ir 2.72-2.73
2 Ir 0.0000 0.0000 0.5002  4 Os 2.70, 4 Ir 2.70, 2 Tc 2.73
3 Ir 0.5000 0.5000 0.2533  2 Os 2.69-2.76, 4 Ir 2.70, 4 Tc 2.72
4 Os 0.5000 0.5000 0.7467  6 Ir 2.69-2.76, 4 Tc 2.72

[11]
Here is Tc2Ir2Os after structural relaxation from Alexandria via LeMat-Bulk. Energies are from PBE-GGA.

Computed properties:
**Energy relative to the lowest polymorph listed for this composition**: 432 meV per atom
**Crystal system**: tetragonal

abc: 7.4364 7.4364 2.7449
angles: 90.00 90.00 90.00
With the nearest neighbours (Å) after each atom.
Fractional coordinates of all 10 atoms:
1 Tc 0.1220 0.3780 0.0000  6 Ir 2.56-2.61, 3 Tc 2.57-2.74
2 Tc 0.3780 0.8780 0.0000  6 Ir 2.56-2.61, 3 Tc 2.57-2.74
3 Tc 0.6220 0.1220 0.0000  6 Ir 2.56-2.61, 3 Tc 2.57-2.74
4 Tc 0.8780 0.6220 0.0000  6 Ir 2.56-2.61, 3 Tc 2.57-2.74
5 Ir 0.1727 0.6727 0.5000  6 Tc 2.56-2.61, 2 Ir 2.74
6 Ir 0.3273 0.1727 0.5000  6 Tc 2.56-2.61, 2 Ir 2.74
7 Ir 0.6727 0.8273 0.5000  6 Tc 2.56-2.61, 2 Ir 2.74
8 Ir 0.8273 0.3273 0.5000  6 Tc 2.56-2.61, 2 Ir 2.74
9 Os 0.0000 0.0000 0.0000  2 Os 2.74, 4 Tc 2.95
10 Os 0.5000 0.5000 0.0000  2 Os 2.74, 4 Tc 2.95

[12]
Here is TcIr2Os after structural relaxation from Alexandria via LeMat-Bulk. Energies are from PBE-GGA.

Computed properties:
**Energy relative to the lowest polymorph listed for this composition**: 86 meV per atom
**Crystal system**: orthorhombic

abc: 4.7495 4.7495 2.7243
angles: 90.00 90.00 110.05
With the nearest neighbours (Å) after each atom.
Fractional coordinates of all 4 atoms:
1 Tc 0.0000 0.0000 0.0000  2 Os 2.72, 2 Tc 2.72, 8 Ir 2.74
2 Ir 0.0000 0.5000 0.5000  4 Ir 2.72, 4 Os 2.74, 4 Tc 2.74
3 Ir 0.5000 0.0000 0.5000  4 Ir 2.72, 4 Os 2.74, 4 Tc 2.74
4 Os 0.5000 0.5000 0.0000  2 Tc 2.72, 2 Os 2.72, 8 Ir 2.74

no.,DFT total energy (eV per atom),density (g/cm3),D(E_F) (states/eV/atom)
1,-9.95,20.22,0.7613
2,-9.70,16.91,0.8062
3,-9.90,19.37,0.6481
4,-8.05,14.80,1.7358
5,-8.79,15.88,1.6014
6,-9.41,21.36,0.9106
7,-9.56,19.63,0.8727
8,-10.34,19.70,0.7227
9,-10.58,17.94,1.0197
10,-9.44,18.72,1.2267
11,-9.59,16.86,1.2078
12,-9.89,19.35,1.2118